Crystalline Pm4Zr3UN8 at its relaxed geometry. Source: Alexandria, functional PBE.

The value obtained for the spin magnetization is 0.043 μB/f.u. As for the raw formation energy: -151.18 kJ per mole of atoms. The raw total energy comes out at -442.8 eV for the cell shown.

The structure belongs to space group R-3m (No. 166, hexagonal axes); the cell edges are 6.8227, 6.8227 and 17.1309 Å and the angles 90.00°, 90.00° and 120.00°. The asymmetric unit holds Pm at (0.0000, 0.0000, 0.0000), Pm at (0.0000, 0.5000, 0.0000), Zr at (0.0000, 0.5000, 0.5000), U at (0.0000, 0.0000, 0.5000), N at (0.0000, 0.0000, 0.2393) and N at (0.0032, 0.5016, 0.2379).


Crystalline HoErAgRu at its relaxed geometry. Source: Alexandria, functional PBE.

The value obtained for the spin magnetization is 0.000 μB/f.u. The value obtained for the energy above the most stable polymorph in this dataset is 0.25 eV per formula unit. The calculation puts the formation energy at -378 meV/atom. The raw total energy comes out at -91.1 eV for the cell shown.

The structure belongs to space group F-43m (No. 216); the cell edges are 6.969, 6.969 and 6.969 Å and the angles 90.00°, 90.00° and 90.00°. The asymmetric unit holds Ho at (0.000, 0.000, 0.000), Er at (0.000, 0.000, 0.500), Ag at (0.250, 0.250, 0.250) and Ru at (0.250, 0.250, 0.750).


Crystalline Sm4DySe6 at its relaxed geometry. Source: Alexandria, functional PBE.

The value obtained for the spin magnetization is 0.000 μB/f.u. As for the raw formation energy: -177.24 kJ per mole of atoms. The raw total energy comes out at -258.4 eV for the cell shown.

The structure belongs to space group Cmcm (No. 63); the cell edges are 4.044, 13.705 and 21.113 Å and the angles 90.00°, 90.00° and 90.00°. The asymmetric unit holds Sm at (0.000, 0.088, 0.128), Sm at (0.000, 0.359, 0.039), Dy at (0.000, 0.153, 0.750), Se at (0.000, 0.000, 0.000), Se at (0.000, 0.195, 0.250), Se at (0.000, 0.270, 0.592) and Se at (0.000, 0.444, 0.169).


Crystalline TaMnSb2 at its relaxed geometry. Source: Alexandria, functional PBE.

The value obtained for the spin magnetization is 2.367 μB/f.u. The value obtained for the energy above the most stable polymorph in this dataset is 2.01 eV per formula unit. As for the raw formation energy: 52.72 kJ per mole of atoms. The raw total energy comes out at -108.3 eV for the cell shown.

The structure belongs to space group I-42d (No. 122); the cell edges are 4.259, 4.259 and 19.014 Å and the angles 90.00°, 90.00° and 90.00°. The asymmetric unit holds Ta at (0.000, 0.000, 0.000), Mn at (0.000, 0.000, 0.500) and Sb at (0.242, 0.250, 0.625).


Crystalline Al2GaAg at its relaxed geometry. Source: Alexandria, functional PBE.

The value obtained for the spin magnetization is 0.000 μB/f.u. The calculation puts the formation energy at 61 meV/atom. The raw total energy comes out at -39.4 eV for the cell shown.

The structure belongs to space group R3m (No. 160, hexagonal axes); the cell edges are 4.3058, 4.3058 and 14.2931 Å and the angles 90.00°, 90.00° and 120.00°. The asymmetric unit holds Al at (0.0000, 0.0000, 0.0000), Al at (0.0000, 0.0000, 0.1954), Ga at (0.0000, 0.0000, 0.7813) and Ag at (0.0000, 0.0000, 0.5927).


Crystalline BC2 at its relaxed geometry. Source: Alexandria, functional PBE.

The value obtained for the spin magnetization is 0.000 μB/f.u. The value obtained for the energy above the most stable polymorph in this dataset is 0.15 eV per formula unit. The calculation puts the formation energy at 291 meV/atom. The raw total energy comes out at -194.0 eV for the cell shown.

The structure belongs to space group C2/m (No. 12); the cell edges are 13.159, 2.556 and 4.720 Å and the angles 90.00°, 105.44° and 90.00°. The asymmetric unit holds B at (0.025, 0.000, 0.323), B at (0.187, 0.000, 0.196), C at (0.025, 0.500, 0.871), C at (0.142, 0.500, 0.966), C at (0.144, 0.000, 0.510) and C at (0.183, 0.500, 0.688).


Crystalline CaReHgO6 at its relaxed geometry. Source: Alexandria, functional PBE.

The value obtained for the spin magnetization is 1.003 μB/f.u. As for the raw formation energy: -138.23 kJ per mole of atoms. The raw total energy comes out at -57.4 eV for the cell shown.

The structure belongs to space group P1 (No. 1); the cell edges are 5.292, 5.768 and 5.809 Å and the angles 60.32°, 81.93° and 73.45°. The asymmetric unit holds Ca at (0.000, 0.000, 0.000), Re at (0.999, 0.637, 0.726), Hg at (0.499, 0.305, 0.389), O at (0.184, 0.889, 0.655), O at (0.216, 0.625, 0.380), O at (0.224, 0.329, 0.948), O at (0.775, 0.724, 0.948), O at (0.782, 0.994, 0.380) and O at (0.814, 0.455, 0.655).


Crystalline ZnCrSi2 at its relaxed geometry. Source: Alexandria, functional PBE.

The value obtained for the spin magnetization is 0.000 μB/f.u. As for the raw formation energy: 18.37 kJ per mole of atoms. The raw total energy comes out at -21.0 eV for the cell shown.

The structure belongs to space group Pmmm (No. 47); the cell edges are 2.544, 4.022 and 5.204 Å and the angles 90.00°, 90.00° and 90.00°. The asymmetric unit holds Zn at (0.000, 0.000, 0.000), Cr at (0.500, 0.000, 0.500) and Si at (0.000, 0.500, 0.273).


Calculated density? In order: 8.7; 10.6; 7.0; 9.2; 5.0; 3.0; 5.9; 5.4 g/cm3.